Entry 1:
Material: TlCu2Ge
Method: DFT, PBEsol
State: relaxed

Cell lengths 4.5253, 4.5253, 4.5253 Å; angles 60.00, 60.00, 60.00 degrees
With the nearest neighbours (Å) after each atom.
Atoms (fractional coordinates):
Tl  0.5000  0.5000  0.5000  8 Cu 2.77
Ge  0.0000  0.0000  0.0000  8 Cu 2.77
Cu  0.2500  0.2500  0.2500  4 Ge 2.77, 4 Tl 2.77
Cu  0.7500  0.7500  0.7500  4 Ge 2.77, 4 Tl 2.77

Results
The calculation puts the volume at 65.53 Å³/cell. The formation enthalpy at 0 K is 0.338 eV per atom. The calculation puts the density of states at the Fermi level at 1.53 states/eV per cell. The value obtained for the total energy is -3.7217 eV/atom.

---

Entry 2:
Material: TmCu2Ge2
Method: DFT, PBEsol
State: relaxed

Cell lengths 3.9453, 3.9453, 5.8299 Å; angles 109.78, 109.78, 90.00 degrees
With the nearest neighbours (Å) after each atom.
Atoms (fractional coordinates):
Ge  0.3823  0.3823  0.7646  4 Cu 2.39, 1 Ge 2.41
Ge  0.6177  0.6177  0.2354  4 Cu 2.39, 1 Ge 2.41
Tm  0.0000  0.0000  0.0000  8 Ge 3.04, 8 Cu 3.23
Cu  0.7500  0.2500  0.5000  4 Ge 2.39
Cu  0.2500  0.7500  0.5000  4 Ge 2.39

Results
The calculation puts the volume at 79.68 Å³/cell. The formation enthalpy at 0 K is -0.517 eV per atom. The calculation puts the density of states at the Fermi level at 1.12 states/eV per cell. The value obtained for the total energy is -5.2059 eV/atom.

---

Entry 3:
Material: Tm3Cu4Ge4
Method: DFT, PBEsol
State: relaxed

Cell lengths 4.0976, 6.5155, 7.8044 Å; angles 114.67, 105.22, 90.00 degrees
With the nearest neighbours (Å) after each atom.
Atoms (fractional coordinates):
Ge  0.2833  0.2833  0.5666  6 Cu 2.48-2.54
Ge  0.7167  0.7167  0.4334  6 Cu 2.48-2.54
Ge  0.0000  0.8071  0.0000  2 Cu 2.43, 1 Ge 2.51
Ge  0.0000  0.1929  0.0000  2 Cu 2.43, 1 Ge 2.51
Tm  0.3705  0.8705  0.7410  6 Cu 2.92-3.00, 6 Ge 2.93-2.98
Tm  0.6295  0.1295  0.2590  6 Cu 2.92-3.00, 6 Ge 2.93-2.98
Tm  0.5000  0.5000  0.0000  6 Ge 2.86-2.94
Cu  0.1698  0.4787  0.3395  4 Ge 2.43-2.54, 1 Cu 2.49
Cu  0.8302  0.1392  0.6605  4 Ge 2.43-2.54, 1 Cu 2.49
Cu  0.8302  0.5213  0.6605  4 Ge 2.43-2.54, 1 Cu 2.49
Cu  0.1698  0.8608  0.3395  4 Ge 2.43-2.54, 1 Cu 2.49

Results
The calculation puts the volume at 181.26 Å³/cell. The formation enthalpy at 0 K is -0.675 eV per atom. The calculation puts the density of states at the Fermi level at 2.47 states/eV per cell. The value obtained for the total energy is -5.3831 eV/atom.

---

Entry 4:
Material: U3Cu4Ge4
Method: DFT, PBEsol
State: relaxed

Cell lengths 4.2823, 6.3857, 7.7828 Å; angles 114.22, 105.97, 90.00 degrees
With the nearest neighbours (Å) after each atom.
Atoms (fractional coordinates):
Ge  0.2844  0.2844  0.5687  6 Cu 2.50-2.54
Ge  0.7156  0.7156  0.4313  6 Cu 2.50-2.54
Ge  0.0000  0.8014  0.0000  2 Cu 2.42, 1 Ge 2.54
Ge  0.0000  0.1986  0.0000  2 Cu 2.42, 1 Ge 2.54
U  0.3768  0.8768  0.7537  6 Cu 2.98-3.04, 6 Ge 3.00-3.06, 1 U 3.33
U  0.6232  0.1232  0.2463  6 Cu 2.98-3.04, 6 Ge 3.00-3.06, 1 U 3.33
U  0.5000  0.5000  0.0000  6 Ge 2.88-2.92
Cu  0.1709  0.4802  0.3418  4 Ge 2.42-2.54, 1 Cu 2.44
Cu  0.8291  0.1384  0.6582  4 Ge 2.42-2.54, 1 Cu 2.44
Cu  0.8291  0.5198  0.6582  4 Ge 2.42-2.54, 1 Cu 2.44
Cu  0.1709  0.8616  0.3418  4 Ge 2.42-2.54, 1 Cu 2.44

Results
The calculation puts the volume at 185.05 Å³/cell. The formation enthalpy at 0 K is -0.135 eV per atom. The calculation puts the density of states at the Fermi level at 18.90 states/eV per cell. The value obtained for the total energy is -6.8225 eV/atom.

---

Entry 5:
Material: YCuGe3
Method: DFT, PBEsol
State: relaxed

Cell lengths 4.6604, 4.6604, 4.6604 Å; angles 90.00, 90.00, 90.00 degrees
With the nearest neighbours (Å) after each atom.
Atoms (fractional coordinates):
Y  0.5000  0.5000  0.5000  12 Ge 3.30
Ge  0.0000  0.5000  0.0000  2 Cu 2.33
Ge  0.0000  0.0000  0.5000  2 Cu 2.33
Ge  0.5000  0.0000  0.0000  2 Cu 2.33
Cu  0.0000  0.0000  0.0000  6 Ge 2.33

Results
The calculation puts the volume at 101.22 Å³/cell. The formation enthalpy at 0 K is 0.034 eV per atom. The calculation puts the density of states at the Fermi level at 3.43 states/eV per cell. The value obtained for the total energy is -5.1607 eV/atom.

---

Entry 6:
Material: Y3Cu4Ge4
Method: DFT, PBEsol
State: relaxed

Cell lengths 3.9418, 4.0614, 12.4221 Å; angles 99.41, 99.13, 90.00 degrees
With the nearest neighbours (Å) after each atom.
Atoms (fractional coordinates):
Y  0.8503  0.8503  0.7006  6 Ge 3.01-3.10, 8 Cu 3.11-3.18
Y  0.1497  0.1497  0.2994  6 Ge 3.01-3.10, 8 Cu 3.11-3.18
Y  0.0000  0.5000  0.0000  4 Cu 3.05, 8 Ge 3.09
Ge  0.4491  0.9491  0.8982  2 Cu 2.31, 1 Ge 2.46
Ge  0.5509  0.0509  0.1018  2 Cu 2.31, 1 Ge 2.46
Ge  0.6923  0.6923  0.3847  5 Cu 2.33-2.45
Ge  0.3077  0.3077  0.6153  5 Cu 2.33-2.45
Cu  0.4040  0.4040  0.8079  3 Ge 2.31-2.33
Cu  0.7491  0.2491  0.4982  4 Ge 2.43-2.45
Cu  0.2509  0.7509  0.5018  4 Ge 2.43-2.45
Cu  0.5960  0.5960  0.1921  3 Ge 2.31-2.33

Results
The calculation puts the volume at 193.64 Å³/cell. The formation enthalpy at 0 K is -0.652 eV per atom. The calculation puts the density of states at the Fermi level at 5.15 states/eV per cell. The value obtained for the total energy is -5.8847 eV/atom.

---

Entry 7:
Material: Zr3Cu4Ge2
Method: DFT, PBEsol
State: relaxed

Cell lengths 3.9780, 6.3531, 6.3531 Å; angles 120.00, 90.00, 90.00 degrees
With the nearest neighbours (Å) after each atom.
Atoms (fractional coordinates):
Zr  0.5000  0.0000  0.5904  1 Cu 2.60, 4 Ge 2.77
Zr  0.5000  0.5904  0.0000  1 Cu 2.60, 4 Ge 2.77
Zr  0.5000  0.4096  0.4096  1 Cu 2.60, 4 Ge 2.77
Cu  0.5000  0.0000  0.0000  6 Cu 2.50, 3 Zr 2.60
Cu  0.0000  0.7613  0.7613  2 Ge 2.47, 4 Cu 2.50-2.63
Cu  0.0000  0.2387  0.0000  2 Ge 2.47, 4 Cu 2.50-2.63
Cu  0.0000  0.0000  0.2387  2 Ge 2.47, 4 Cu 2.50-2.63
Ge  0.0000  0.3333  0.6667  3 Cu 2.47, 6 Zr 2.77
Ge  0.0000  0.6667  0.3333  3 Cu 2.47, 6 Zr 2.77

Results
The calculation puts the volume at 139.05 Å³/cell. The formation enthalpy at 0 K is -0.536 eV per atom. The calculation puts the density of states at the Fermi level at 2.89 states/eV per cell. The value obtained for the total energy is -6.5896 eV/atom.

---

Entry 8:
Material: Zr2CuGe4
Method: DFT, PBEsol
State: relaxed

Cell lengths 3.7629, 3.7728, 16.6439 Å; angles 83.49, 90.00, 90.00 degrees
With the nearest neighbours (Å) after each atom.
Atoms (fractional coordinates):
Zr  0.2500  0.3219  0.3561  8 Ge 2.78-2.86, 4 Cu 3.03-3.04
Zr  0.7500  0.6781  0.6439  8 Ge 2.78-2.86, 4 Cu 3.03-3.04
Zr  0.2500  0.0472  0.9057  8 Ge 2.74-2.89
Zr  0.7500  0.9528  0.0943  8 Ge 2.74-2.89
Cu  0.7500  0.2500  0.4999  4 Ge 2.45, 4 Cu 2.66
Cu  0.2500  0.7500  0.5001  4 Ge 2.45, 4 Cu 2.66
Ge  0.2500  0.8867  0.2266  4 Ge 2.66, 4 Zr 2.85-2.89
Ge  0.7500  0.1133  0.7734  4 Ge 2.66, 4 Zr 2.85-2.89
Ge  0.2500  0.2025  0.5949  4 Cu 2.45
Ge  0.7500  0.7975  0.4051  4 Cu 2.45
Ge  0.7500  0.5272  0.9456  2 Ge 2.60, 4 Zr 2.74
Ge  0.2500  0.4728  0.0544  2 Ge 2.60, 4 Zr 2.74
Ge  0.7500  0.3869  0.2261  4 Ge 2.66, 4 Zr 2.86-2.88
Ge  0.2500  0.6131  0.7739  4 Ge 2.66, 4 Zr 2.86-2.88

Results
The calculation puts the volume at 234.76 Å³/cell. The formation enthalpy at 0 K is -0.622 eV per atom. The calculation puts the density of states at the Fermi level at 4.52 states/eV per cell. The value obtained for the total energy is -6.6606 eV/atom.

---

Entry 9:
Material: Zr3CuGe
Method: DFT, PBEsol
State: relaxed

Cell lengths 4.7943, 4.7943, 4.7943 Å; angles 90.00, 90.00, 90.00 degrees
With the nearest neighbours (Å) after each atom.
Atoms (fractional coordinates):
Ge  0.5000  0.5000  0.5000  12 Zr 3.39
Cu  0.0000  0.0000  0.0000  6 Zr 2.40
Zr  0.0000  0.5000  0.0000  2 Cu 2.40
Zr  0.0000  0.0000  0.5000  2 Cu 2.40
Zr  0.5000  0.0000  0.0000  2 Cu 2.40

Results
The calculation puts the volume at 110.20 Å³/cell. The formation enthalpy at 0 K is 0.334 eV per atom. The calculation puts the density of states at the Fermi level at 4.43 states/eV per cell. The value obtained for the total energy is -6.9745 eV/atom.

---

Entry 10:
Material: ZrCuGe
Method: DFT, PBEsol
State: relaxed

Cell lengths 3.9710, 6.4993, 7.3205 Å; angles 90.00, 90.00, 90.00 degrees
With the nearest neighbours (Å) after each atom.
Atoms (fractional coordinates):
Ge  0.7500  0.7208  0.9010  4 Cu 2.39-2.57
Ge  0.2500  0.2792  0.0990  4 Cu 2.39-2.57
Ge  0.7500  0.2208  0.5990  4 Cu 2.39-2.57
Ge  0.2500  0.7792  0.4010  4 Cu 2.39-2.57
Cu  0.2500  0.1741  0.4216  4 Ge 2.39-2.57
Cu  0.7500  0.8259  0.5784  4 Ge 2.39-2.57
Cu  0.2500  0.6741  0.0784  4 Ge 2.39-2.57
Cu  0.7500  0.3259  0.9216  4 Ge 2.39-2.57
Zr  0.7500  0.4915  0.3035  5 Ge 2.79-2.84, 6 Cu 2.84-3.00
Zr  0.2500  0.5085  0.6965  5 Ge 2.79-2.84, 6 Cu 2.84-3.00
Zr  0.7500  0.9915  0.1965  5 Ge 2.79-2.84, 6 Cu 2.84-3.00
Zr  0.2500  0.0085  0.8035  5 Ge 2.79-2.84, 6 Cu 2.84-3.00

Results
The calculation puts the volume at 188.94 Å³/cell. The formation enthalpy at 0 K is -0.653 eV per atom. The calculation puts the density of states at the Fermi level at 5.36 states/eV per cell. The value obtained for the total energy is -6.7739 eV/atom.

---

Entry 11:
Material: HfCuH2
Method: DFT, PBEsol
State: relaxed

Cell lengths 3.9957, 3.9957, 5.6454 Å; angles 110.73, 110.73, 90.00 degrees
With the nearest neighbours (Å) after each atom.
Atoms (fractional coordinates):
H  0.4261  0.8750  0.2500  2 Cu 1.77
H  0.8239  0.3750  0.2500  2 Cu 1.77
H  0.1250  0.1761  0.7500  2 Cu 1.77
H  0.6250  0.5739  0.7500  2 Cu 1.77
Hf  0.2500  0.7500  0.5000  4 H 1.98
Hf  0.0000  0.0000  0.0000  4 H 1.98
Cu  0.7500  0.2500  0.5000  4 H 1.77
Cu  0.5000  0.5000  0.0000  4 H 1.77

Results
The calculation puts the volume at 78.03 Å³/cell. The calculation puts the density of states at the Fermi level at 2.43 states/eV per cell. The value obtained for the total energy is -5.4417 eV/atom.

---

Entry 12:
Material: Hf3CuH
Method: DFT, PBEsol
State: relaxed

Cell lengths 4.2494, 4.2494, 4.2494 Å; angles 90.00, 90.00, 90.00 degrees
With the nearest neighbours (Å) after each atom.
Atoms (fractional coordinates):
H  0.0000  0.0000  0.0000  6 Hf 2.12
Hf  0.0000  0.5000  0.0000  2 H 2.12
Hf  0.0000  0.0000  0.5000  2 H 2.12
Hf  0.5000  0.0000  0.0000  2 H 2.12
Cu  0.5000  0.5000  0.5000  12 Hf 3.00

Results
The calculation puts the volume at 76.73 Å³/cell. The calculation puts the density of states at the Fermi level at 4.94 states/eV per cell. The value obtained for the total energy is -7.9162 eV/atom.